(1)
Hf4FeSiN2, relaxed, DFT PBE-GGA; calculated total energy = -78.01 eV/cell; spin magnetization = 0.9 μB per cell
1.0
-2.356 -2.064 0.465
1.030 0.591 -2.935
8.885 -9.892 1.126
Hf N Si Fe
4 2 1 1
Direct
0.000 0.000 0.344
0.000 0.000 0.656
0.667 0.333 0.146
0.667 0.333 0.854
0.333 0.667 0.753
0.333 0.667 0.247
0.667 0.333 0.500
0.000 0.000 0.000

=====

(2)
Y4GaFeN2, relaxed, DFT PBE-GGA; distance to the lowest polymorph of the same formula = 0.00 kJ/mol of atoms; spin magnetization = 1.8 μB per cell
1.0
3.481 0.000 0.000
-1.740 3.014 0.000
0.000 0.000 14.583
Fe N Y Ga
1 2 4 1
Direct
0.000 0.000 0.000
0.333 0.667 0.244
0.333 0.667 0.756
0.000 0.000 0.667
0.000 0.000 0.333
0.667 0.333 0.856
0.667 0.333 0.144
0.667 0.333 0.500

=====

(3)
SrPrOs, relaxed, DFT PBE-GGA; distance to the lowest polymorph of the same formula = 0.00 kJ/mol of atoms; spin magnetization = 0.0 μB per cell
1.0
3.178 -3.091 2.306
-0.957 -4.902 0.161
2.779 -3.177 -2.674
Sr Pr Os
1 1 1
Direct
0.750 0.750 0.750
0.250 0.250 0.250
0.000 0.000 0.000

=====

(4)
CsKAu, relaxed, DFT PBE-GGA; calculated total energy = -5.01 eV/cell
1.0
0.000 4.242 4.242
4.242 0.000 4.242
4.242 4.242 0.000
Cs Au K
1 1 1
Direct
0.000 0.000 0.000
0.250 0.250 0.250
0.750 0.750 0.750

=====

(5)
Zr2Nb2Mo, relaxed, DFT PBE-GGA; energy of formation from the pure elements = 3.6 eV per formula unit; spin magnetization = 0.0 μB per cell
1.0
-3.596 3.730 5.930
-7.196 1.217 2.958
5.653 -4.634 -2.929
Nb Zr Mo
2 2 1
Direct
0.750 0.250 0.500
0.250 0.750 0.500
0.595 0.595 0.000
0.405 0.405 0.000
0.000 0.000 0.000

=====

(6)
HfZn, relaxed, DFT PBE-GGA; energy of formation from the pure elements = 0.6 eV per formula unit; spin magnetization = 0.0 μB per cell
1.0
0.000 2.705 2.705
2.705 0.000 2.705
2.705 2.705 0.000
Zn Hf
1 1
Direct
0.500 0.500 0.500
0.000 0.000 0.000

=====

(7)
Er2Sn, relaxed, DFT PBE-GGA; calculated total energy = -18.55 eV/cell; spin magnetization = 0.0 μB per cell
1.0
4.706 2.717 7.684
-4.706 2.717 7.684
0.000 -5.433 7.684
Er Sn
4 2
Direct
0.875 0.375 0.375
0.375 0.375 0.875
0.375 0.375 0.375
0.375 0.875 0.375
0.250 0.250 0.250
0.500 0.500 0.500

=====

(8)
Y3Mg3CuAgAu, relaxed, DFT PBE-GGA; calculated total energy = -37.53 eV/cell; spin magnetization = 0.0 μB per cell
1.0
7.573 0.000 0.000
-3.786 6.558 0.000
0.000 0.000 4.098
Mg Y Cu Ag Au
3 3 1 1 1
Direct
0.905 0.332 0.000
0.668 0.573 0.000
0.427 0.095 0.000
0.256 0.327 0.500
0.071 0.744 0.500
0.673 0.929 0.500
0.667 0.333 0.500
0.333 0.667 0.000
0.000 0.000 0.000

=====

(9)
Cu4Ag, relaxed, DFT PBE-GGA; distance to the lowest polymorph of the same formula = 1.94 kJ/mol of atoms; energy of formation from the pure elements = 0.3 eV per formula unit
1.0
5.879 0.000 0.000
0.000 3.735 0.000
-0.077 0.000 5.938
Cu Ag
8 2
Direct
0.762 0.250 0.762
0.133 0.250 0.548
0.867 0.750 0.452
0.337 0.250 0.952
0.041 0.750 0.853
0.663 0.750 0.048
0.959 0.250 0.147
0.238 0.750 0.238
0.555 0.250 0.340
0.445 0.750 0.660

=====

(10)
LiSnAu2, relaxed, DFT PBE-GGA; calculated total energy = -27.60 eV/cell
1.0
2.331 -4.038 0.000
2.331 4.038 0.000
0.000 0.000 8.600
Au Li Sn
4 2 2
Direct
0.333 0.667 0.591
0.667 0.333 0.409
0.667 0.333 0.091
0.333 0.667 0.909
0.667 0.333 0.750
0.333 0.667 0.250
0.000 0.000 0.000
0.000 0.000 0.500

=====

(11)
RbNdNO, relaxed, DFT PBE-GGA; distance to the lowest polymorph of the same formula = 38.40 kJ/mol of atoms; spin magnetization = 2.0 μB per cell
1.0
2.926 -2.917 0.000
2.926 2.917 0.000
-0.034 0.000 9.194
N Nd Rb O
2 2 2 2
Direct
0.239 0.239 0.709
0.735 0.735 0.288
0.755 0.755 0.879
0.258 0.258 0.123
0.259 0.758 0.501
0.758 0.259 0.501
0.248 0.749 0.999
0.749 0.248 0.999

=====

(12)
Y2Hg2Au, relaxed, DFT PBE-GGA; distance to the lowest polymorph of the same formula = 11.75 kJ/mol of atoms; energy of formation from the pure elements = -1.0 eV per formula unit; spin magnetization = 0.1 μB per cell
1.0
2.881 -2.881 0.000
2.881 2.881 0.000
-2.881 0.000 7.733
Hg Y Au
2 2 1
Direct
0.250 0.750 0.500
0.750 0.250 0.500
0.598 0.598 0.196
0.402 0.402 0.804
0.000 0.000 0.000